{"formula": "Ca2Bi3O8", "functional": "PBE", "state": "optimized geometry", "dos_ef_per_ev_fu": 5.50, "density_g_cm3": 6.26, "sg": "C2/m, No. 12", "e_above_lowest_polymorph_kj_per_mol_fu": 9, "energy_ev_per_atom": -5.851, "magnetic_moment_mub_per_cell": 0.0, "lattice_angstrom": [[5.458, -3.476, 0.000], [5.458, 3.476, 0.000], [-0.754, 0.000, 5.834]], "species": ["Ca", "Ca", "Bi", "Bi", "Bi", "O", "O", "O", "O", "O", "O", "O", "O"], "fractional_positions": [[0.201, 0.201, 0.055], [0.799, 0.799, 0.945], [0.243, 0.757, 0.500], [0.500, 0.500, 0.000], [0.757, 0.243, 0.500], [0.101, 0.101, 0.367], [0.168, 0.594, 0.133], [0.388, 0.388, 0.680], [0.406, 0.832, 0.867], [0.594, 0.168, 0.133], [0.612, 0.612, 0.320], [0.832, 0.406, 0.867], [0.899, 0.899, 0.633]]}